<P>
DFT (PBE-GGA) results for a geometry-optimized Mg2AuI structure.

CIF file:
```
data_Mg2AuI
_chemical_formula_sum 'Mg8 Au4 I4'
_cell_length_a 7.6385
_cell_length_b 7.6385
_cell_length_c 7.4778
_cell_angle_alpha 90.00
_cell_angle_beta 90.00
_cell_angle_gamma 90.00
_space_group_name_H-M_alt 'I -4 2 d'
_space_group_IT_number 122
_space_group_name_Hall 'I -4 2bw'
loop_
_atom_site_label
_atom_site_type_symbol
_atom_site_fract_x
_atom_site_fract_y
_atom_site_fract_z
Mg1 Mg 0.2118 0.2500 0.1250
Au1 Au 0.0000 0.0000 0.0000
I1 I 0.0000 0.0000 0.5000
```



<Q>
DFT (PBE-GGA) results for a geometry-optimized Mg2AuI structure.

CIF file:
```
data_Mg2AuI
_chemical_formula_sum 'Mg8 Au4 I4'
_cell_length_a 7.3055
_cell_length_b 7.3055
_cell_length_c 7.3055
_cell_angle_alpha 90.00
_cell_angle_beta 90.00
_cell_angle_gamma 90.00
_space_group_name_H-M_alt 'F m -3 m'
_space_group_IT_number 225
_space_group_name_Hall '-F 4 2 3'
loop_
_atom_site_label
_atom_site_type_symbol
_atom_site_fract_x
_atom_site_fract_y
_atom_site_fract_z
Mg1 Mg 0.2500 0.2500 0.2500
Au1 Au 0.0000 0.0000 0.0000
I1 I 0.0000 0.0000 0.5000
```



Computed stability ranking, most favorable first: <P>, <Q>



<P>
DFT (PBE-GGA) results for a geometry-optimized MgAuI2 structure.

CIF file:
```
data_MgAuI2
_chemical_formula_sum 'Mg4 Au4 I8'
_cell_length_a 7.0346
_cell_length_b 7.0346
_cell_length_c 12.5554
_cell_angle_alpha 90.00
_cell_angle_beta 90.00
_cell_angle_gamma 90.00
_space_group_name_H-M_alt 'I -4 2 d'
_space_group_IT_number 122
_space_group_name_Hall 'I -4 2bw'
loop_
_atom_site_label
_atom_site_type_symbol
_atom_site_fract_x
_atom_site_fract_y
_atom_site_fract_z
Mg1 Mg 0.0000 0.0000 0.0000
Au1 Au 0.0000 0.0000 0.5000
I1 I 0.2182 0.2500 0.1250
```



<Q>
DFT (PBE-GGA) results for a geometry-optimized MgAuI2 structure.

CIF file:
```
data_MgAuI2
_chemical_formula_sum 'Mg4 Au4 I8'
_cell_length_a 7.5950
_cell_length_b 7.5950
_cell_length_c 7.5950
_cell_angle_alpha 90.00
_cell_angle_beta 90.00
_cell_angle_gamma 90.00
_space_group_name_H-M_alt 'F m -3 m'
_space_group_IT_number 225
_space_group_name_Hall '-F 4 2 3'
loop_
_atom_site_label
_atom_site_type_symbol
_atom_site_fract_x
_atom_site_fract_y
_atom_site_fract_z
Mg1 Mg 0.0000 0.0000 0.0000
Au1 Au 0.0000 0.0000 0.5000
I1 I 0.2500 0.2500 0.2500
```



Computed stability ranking, most favorable first: <P>, <Q>



<P>
DFT (PBE-GGA) results for a geometry-optimized MgAu2I structure.

CIF file:
```
data_MgAu2I
_chemical_formula_sum 'Mg4 Au8 I4'
_cell_length_a 7.1219
_cell_length_b 7.1219
_cell_length_c 7.1219
_cell_angle_alpha 90.00
_cell_angle_beta 90.00
_cell_angle_gamma 90.00
_space_group_name_H-M_alt 'F m -3 m'
_space_group_IT_number 225
_space_group_name_Hall '-F 4 2 3'
loop_
_atom_site_label
_atom_site_type_symbol
_atom_site_fract_x
_atom_site_fract_y
_atom_site_fract_z
Mg1 Mg 0.0000 0.0000 0.0000
Au1 Au 0.2500 0.2500 0.2500
I1 I 0.0000 0.0000 0.5000
```



<Q>
DFT (PBE-GGA) results for a geometry-optimized MgAu2I structure.

CIF file:
```
data_MgAu2I
_chemical_formula_sum 'Mg4 Au8 I4'
_cell_length_a 8.2490
_cell_length_b 8.2490
_cell_length_c 5.6669
_cell_angle_alpha 90.00
_cell_angle_beta 90.00
_cell_angle_gamma 90.00
_space_group_name_H-M_alt 'I -4 2 d'
_space_group_IT_number 122
_space_group_name_Hall 'I -4 2bw'
loop_
_atom_site_label
_atom_site_type_symbol
_atom_site_fract_x
_atom_site_fract_y
_atom_site_fract_z
Mg1 Mg 0.0000 0.0000 0.0000
Au1 Au 0.2296 0.7500 0.1250
I1 I 0.0000 0.0000 0.5000
```



Computed stability ranking, most favorable first: <Q>, <P>



<P>
DFT (PBE-GGA) results for a geometry-optimized MgAuI2N structure.

CIF file:
```
data_MgAuI2N
_chemical_formula_sum 'Mg1 Au1 I2 N1'
_cell_length_a 6.0765
_cell_length_b 6.0765
_cell_length_c 3.8224
_cell_angle_alpha 90.00
_cell_angle_beta 90.00
_cell_angle_gamma 90.00
_space_group_name_H-M_alt 'P 4/m m m'
_space_group_IT_number 123
_space_group_name_Hall '-P 4 2'
loop_
_atom_site_label
_atom_site_type_symbol
_atom_site_fract_x
_atom_site_fract_y
_atom_site_fract_z
Mg1 Mg 0.0000 0.0000 0.0000
Au1 Au 0.5000 0.5000 0.5000
I1 I 0.0000 0.5000 0.5000
N1 N 0.5000 0.5000 0.0000
```



<Q>
DFT (PBE-GGA) results for a geometry-optimized MgAuI2N structure.

CIF file:
```
data_MgAuI2N
_chemical_formula_sum 'Mg1 Au1 I2 N1'
_cell_length_a 5.7975
_cell_length_b 5.7975
_cell_length_c 4.0576
_cell_angle_alpha 90.00
_cell_angle_beta 90.00
_cell_angle_gamma 90.00
_space_group_name_H-M_alt 'P 4/m m m'
_space_group_IT_number 123
_space_group_name_Hall '-P 4 2'
loop_
_atom_site_label
_atom_site_type_symbol
_atom_site_fract_x
_atom_site_fract_y
_atom_site_fract_z
Mg1 Mg 0.0000 0.0000 0.0000
Au1 Au 0.5000 0.5000 0.5000
I1 I 0.0000 0.5000 0.0000
N1 N 0.0000 0.0000 0.5000
```



Computed stability ranking, most favorable first: <Q>, <P>



<P>
DFT (PBE-GGA) results for a geometry-optimized MgAuIO2 structure.

CIF file:
```
data_MgAuIO2
_chemical_formula_sum 'Mg1 Au1 I1 O2'
_cell_length_a 3.9339
_cell_length_b 3.9339
_cell_length_c 6.8684
_cell_angle_alpha 90.00
_cell_angle_beta 90.00
_cell_angle_gamma 90.00
_space_group_name_H-M_alt 'P 4/m m m'
_space_group_IT_number 123
_space_group_name_Hall '-P 4 2'
loop_
_atom_site_label
_atom_site_type_symbol
_atom_site_fract_x
_atom_site_fract_y
_atom_site_fract_z
Mg1 Mg 0.0000 0.0000 0.0000
Au1 Au 0.5000 0.5000 0.5000
I1 I 0.0000 0.0000 0.5000
O1 O 0.0000 0.5000 0.0000
```



<Q>
DFT (PBE-GGA) results for a geometry-optimized MgAuIO2 structure.

CIF file:
```
data_MgAuIO2
_chemical_formula_sum 'Mg1 Au1 I1 O2'
_cell_length_a 4.1706
_cell_length_b 4.1706
_cell_length_c 5.7055
_cell_angle_alpha 90.00
_cell_angle_beta 90.00
_cell_angle_gamma 90.00
_space_group_name_H-M_alt 'P 4/m m m'
_space_group_IT_number 123
_space_group_name_Hall '-P 4 2'
loop_
_atom_site_label
_atom_site_type_symbol
_atom_site_fract_x
_atom_site_fract_y
_atom_site_fract_z
Mg1 Mg 0.0000 0.0000 0.0000
Au1 Au 0.5000 0.5000 0.5000
I1 I 0.5000 0.5000 0.0000
O1 O 0.0000 0.5000 0.5000
```



Computed stability ranking, most favorable first: <P>, <Q>



<P>
DFT (PBE-GGA) results for a geometry-optimized MnAu2I structure.

CIF file:
```
data_MnAu2I
_chemical_formula_sum 'Mn4 Au8 I4'
_cell_length_a 6.9980
_cell_length_b 6.9980
_cell_length_c 6.9980
_cell_angle_alpha 90.00
_cell_angle_beta 90.00
_cell_angle_gamma 90.00
_space_group_name_H-M_alt 'F m -3 m'
_space_group_IT_number 225
_space_group_name_Hall '-F 4 2 3'
loop_
_atom_site_label
_atom_site_type_symbol
_atom_site_fract_x
_atom_site_fract_y
_atom_site_fract_z
Mn1 Mn 0.0000 0.0000 0.0000
Au1 Au 0.2500 0.2500 0.2500
I1 I 0.0000 0.0000 0.5000
```



<Q>
DFT (PBE-GGA) results for a geometry-optimized MnAu2I structure.

CIF file:
```
data_MnAu2I
_chemical_formula_sum 'Mn4 Au8 I4'
_cell_length_a 8.0912
_cell_length_b 8.0912
_cell_length_c 5.5459
_cell_angle_alpha 90.00
_cell_angle_beta 90.00
_cell_angle_gamma 90.00
_space_group_name_H-M_alt 'I -4 2 d'
_space_group_IT_number 122
_space_group_name_Hall 'I -4 2bw'
loop_
_atom_site_label
_atom_site_type_symbol
_atom_site_fract_x
_atom_site_fract_y
_atom_site_fract_z
Mn1 Mn 0.0000 0.0000 0.0000
Au1 Au 0.2156 0.2500 0.1250
I1 I 0.0000 0.0000 0.5000
```



Computed stability ranking, most favorable first: <Q>, <P>



<P>
DFT (PBE-GGA) results for a geometry-optimized MnAuI2N structure.

CIF file:
```
data_MnAuI2N
_chemical_formula_sum 'Mn1 Au1 I2 N1'
_cell_length_a 5.5600
_cell_length_b 5.5600
_cell_length_c 3.5722
_cell_angle_alpha 90.00
_cell_angle_beta 90.00
_cell_angle_gamma 90.00
_space_group_name_H-M_alt 'P 4/m m m'
_space_group_IT_number 123
_space_group_name_Hall '-P 4 2'
loop_
_atom_site_label
_atom_site_type_symbol
_atom_site_fract_x
_atom_site_fract_y
_atom_site_fract_z
Mn1 Mn 0.0000 0.0000 0.0000
Au1 Au 0.5000 0.5000 0.5000
I1 I 0.0000 0.5000 0.0000
N1 N 0.0000 0.0000 0.5000
```



<Q>
DFT (PBE-GGA) results for a geometry-optimized MnAuI2N structure.

CIF file:
```
data_MnAuI2N
_chemical_formula_sum 'Mn1 Au1 I2 N1'
_cell_length_a 6.0466
_cell_length_b 6.0466
_cell_length_c 3.7993
_cell_angle_alpha 90.00
_cell_angle_beta 90.00
_cell_angle_gamma 90.00
_space_group_name_H-M_alt 'P 4/m m m'
_space_group_IT_number 123
_space_group_name_Hall '-P 4 2'
loop_
_atom_site_label
_atom_site_type_symbol
_atom_site_fract_x
_atom_site_fract_y
_atom_site_fract_z
Mn1 Mn 0.0000 0.0000 0.0000
Au1 Au 0.5000 0.5000 0.5000
I1 I 0.0000 0.5000 0.5000
N1 N 0.5000 0.5000 0.0000
```



Computed stability ranking, most favorable first: <P>, <Q>



<P>
DFT (PBE-GGA) results for a geometry-optimized MnPRhAuI structure.

CIF file:
```
data_MnPRhAuI
_chemical_formula_sum 'Mn2 P2 Rh2 Au2 I2'
_cell_length_a 6.6392
_cell_length_b 3.9087
_cell_length_c 7.7827
_cell_angle_alpha 90.00
_cell_angle_beta 91.20
_cell_angle_gamma 90.00
_space_group_name_H-M_alt 'C 1 m 1'
_space_group_IT_number 8
_space_group_name_Hall 'C -2y'
loop_
_atom_site_label
_atom_site_type_symbol
_atom_site_fract_x
_atom_site_fract_y
_atom_site_fract_z
Mn1 Mn 0.0000 0.0000 0.0000
P1 P 0.1730 0.5000 0.1203
Rh1 Rh 0.3415 0.0000 0.2103
Au1 Au 0.2057 0.5000 0.4423
I1 I 0.2575 0.0000 0.7155
```



<Q>
DFT (PBE-GGA) results for a geometry-optimized MnPRhAuI structure.

CIF file:
```
data_MnPRhAuI
_chemical_formula_sum 'Mn2 P2 Rh2 Au2 I2'
_cell_length_a 14.0147
_cell_length_b 3.7621
_cell_length_c 4.9982
_cell_angle_alpha 90.00
_cell_angle_beta 108.22
_cell_angle_gamma 90.00
_space_group_name_H-M_alt 'C 1 m 1'
_space_group_IT_number 8
_space_group_name_Hall 'C -2y'
loop_
_atom_site_label
_atom_site_type_symbol
_atom_site_fract_x
_atom_site_fract_y
_atom_site_fract_z
Mn1 Mn 0.0000 0.0000 0.0000
P1 P 0.1080 0.5000 0.2222
Rh1 Rh 0.1702 0.0000 0.4435
Au1 Au 0.0880 0.5000 0.7251
I1 I 0.3441 0.0000 0.8737
```



<R>
DFT (PBE-GGA) results for a geometry-optimized MnPRhAuI structure.

CIF file:
```
data_MnPRhAuI
_chemical_formula_sum 'Mn2 P2 Rh2 Au2 I2'
_cell_length_a 3.7461
_cell_length_b 4.2891
_cell_length_c 14.1236
_cell_angle_alpha 90.00
_cell_angle_beta 90.00
_cell_angle_gamma 90.00
_space_group_name_H-M_alt 'A m m 2'
_space_group_IT_number 38
_space_group_name_Hall 'A 2 -2'
loop_
_atom_site_label
_atom_site_type_symbol
_atom_site_fract_x
_atom_site_fract_y
_atom_site_fract_z
Mn1 Mn 0.0000 0.0000 0.0000
P1 P 0.5000 0.0000 0.1106
Rh1 Rh 0.0000 0.0000 0.1950
Au1 Au 0.5000 0.0000 0.5251
I1 I 0.0000 0.0000 0.8145
```



Computed stability ranking, most favorable first: <P>, <Q>, <R>